## Nd16Sm6Ho7 (GGA-PBE)

Data for a geometry-optimized Nd16Sm6Ho7 structure.

Geometry as POSCAR:
```
Nd16Sm6Ho7
1.0
0.0000 8.0272 8.0272
8.0272 0.0000 8.0272
8.0272 8.0272 0.0000
Nd Sm Ho
16 6 7
Direct
0.0492 0.6503 0.6503
0.1256 0.1256 0.1256
0.1256 0.1256 0.6232
0.1256 0.6232 0.1256
0.3497 0.3497 0.3497
0.3497 0.3497 0.9508
0.3497 0.9508 0.3497
0.3768 0.8744 0.8744
0.6232 0.1256 0.1256
0.6503 0.0492 0.6503
0.6503 0.6503 0.0492
0.6503 0.6503 0.6503
0.8744 0.3768 0.8744
0.8744 0.8744 0.3768
0.8744 0.8744 0.8744
0.9508 0.3497 0.3497
0.2688 0.2688 0.7312
0.2688 0.7312 0.2688
0.2688 0.7312 0.7312
0.7312 0.2688 0.2688
0.7312 0.2688 0.7312
0.7312 0.7312 0.2688
0.0000 0.0000 0.0000
0.0000 0.0000 0.5000
0.0000 0.5000 0.0000
0.0000 0.5000 0.5000
0.5000 0.0000 0.0000
0.5000 0.0000 0.5000
0.5000 0.5000 0.0000
```

Values from the calculation:
Symmetry = No. 225
Energy of formation from the pure elements = 0.20 eV/atom
Magnetic moment = 0.000 μB/atom



## NdSm5Ho2 (GGA-PBE)

Data for a geometry-optimized NdSm5Ho2 structure.

Geometry as POSCAR:
```
NdSm5Ho2
1.0
6.8487 0.0000 0.0000
2.9456 8.8609 0.0000
2.9473 -0.2090 8.8649
Nd Sm Ho
2 10 4
Direct
0.1270 0.2298 0.3963
0.8730 0.7702 0.6037
0.1236 0.8961 0.2310
0.1249 0.7272 0.8955
0.3728 0.0220 0.8534
0.3760 0.3540 0.0193
0.3769 0.5218 0.3547
0.6231 0.4782 0.6453
0.6240 0.6460 0.9807
0.6272 0.9780 0.1466
0.8751 0.2728 0.1045
0.8764 0.1039 0.7690
0.1251 0.3955 0.7282
0.3762 0.8540 0.5208
0.6238 0.1460 0.4792
0.8749 0.6045 0.2718
```

Values from the calculation:
Symmetry = No. 2
Relative energy among the computed polymorphs = 9.6 meV per atom
Energy of formation from the pure elements = 0.03 eV/atom
Magnetic moment = 0.000 μB/atom



## Nd3Sm3Ho (GGA-PBE)

Data for a geometry-optimized Nd3Sm3Ho structure.

Geometry as POSCAR:
```
Nd3Sm3Ho
1.0
4.3890 2.5340 7.3799
-4.3890 2.5340 7.3799
0.0000 -5.0680 7.3799
Nd Sm Ho
6 6 2
Direct
0.0623 0.8183 0.2949
0.1817 0.7051 0.9377
0.2949 0.0623 0.8183
0.7051 0.9377 0.1817
0.8183 0.2949 0.0623
0.9377 0.1817 0.7051
0.0678 0.5678 0.7214
0.2786 0.9322 0.4322
0.4322 0.2786 0.9322
0.5678 0.7214 0.0678
0.7214 0.0678 0.5678
0.9322 0.4322 0.2786
0.3462 0.3462 0.3462
0.6538 0.6538 0.6538
```

Values from the calculation:
Symmetry = No. 148
Relative energy among the computed polymorphs = 200.7 meV per atom
Energy of formation from the pure elements = 0.23 eV/atom
Magnetic moment = 0.000 μB/atom



## Nd2Sm2Ho15 (GGA-PBE)

Data for a geometry-optimized Nd2Sm2Ho15 structure.

Geometry as POSCAR:
```
Nd2Sm2Ho15
1.0
5.6030 3.2349 5.8420
-5.6030 3.2349 5.8420
0.0000 -6.4697 5.8420
Nd Sm Ho
2 2 15
Direct
0.1719 0.1719 0.1719
0.8281 0.8281 0.8281
0.4032 0.4032 0.4032
0.5968 0.5968 0.5968
0.0000 0.5000 0.5000
0.1316 0.1316 0.6496
0.1316 0.6496 0.1316
0.1998 0.5000 0.8002
0.1998 0.8002 0.5000
0.3504 0.8684 0.8684
0.5000 0.0000 0.5000
0.5000 0.1998 0.8002
0.5000 0.5000 0.0000
0.5000 0.8002 0.1998
0.6496 0.1316 0.1316
0.8002 0.1998 0.5000
0.8002 0.5000 0.1998
0.8684 0.3504 0.8684
0.8684 0.8684 0.3504
```

Values from the calculation:
Symmetry = No. 166
Energy of formation from the pure elements = 0.28 eV/atom
Magnetic moment = 0.000 μB/atom



## Nd3SmHo3 (GGA-PBE)

Data for a geometry-optimized Nd3SmHo3 structure.

Geometry as POSCAR:
```
Nd3SmHo3
1.0
4.3624 2.5186 7.3682
-4.3624 2.5186 7.3682
0.0000 -5.0372 7.3682
Nd Sm Ho
6 2 6
Direct
0.0658 0.5711 0.2186
0.2186 0.0658 0.5711
0.4289 0.7814 0.9342
0.5711 0.2186 0.0658
0.7814 0.9342 0.4289
0.9342 0.4289 0.7814
0.1557 0.1557 0.1557
0.8443 0.8443 0.8443
0.2151 0.6736 0.4370
0.3264 0.5630 0.7849
0.4370 0.2151 0.6736
0.5630 0.7849 0.3264
0.6736 0.4370 0.2151
0.7849 0.3264 0.5630
```

Values from the calculation:
Symmetry = No. 148
Relative energy among the computed polymorphs = 173.4 meV per atom
Energy of formation from the pure elements = 0.20 eV/atom
Magnetic moment = 0.000 μB/atom



## Nd3SmHo7 (GGA-PBE)

Data for a geometry-optimized Nd3SmHo7 structure.

Geometry as POSCAR:
```
Nd3SmHo7
1.0
7.0689 0.0000 0.0000
-3.5344 6.1218 0.0000
0.0000 0.0000 8.6993
Nd Sm Ho
3 1 7
Direct
0.0005 0.5002 0.0000
0.4998 0.9995 0.0000
0.4998 0.5002 0.0000
0.6667 0.3333 0.3392
0.1675 0.3349 0.3392
0.1675 0.8325 0.3392
0.3333 0.6667 0.6615
0.3344 0.1672 0.6634
0.6651 0.8325 0.3392
0.8328 0.1672 0.6634
0.8328 0.6656 0.6634
```

Values from the calculation:
Symmetry = No. 156
Relative energy among the computed polymorphs = 29.6 meV per atom
Energy of formation from the pure elements = 0.18 eV/atom
Magnetic moment = 0.000 μB/atom



## Nd12SmHo5 (GGA-PBE)

Data for a geometry-optimized Nd12SmHo5 structure.

Geometry as POSCAR:
```
Nd12SmHo5
1.0
10.8929 0.0000 0.0000
0.0000 5.1489 0.0000
-0.0309 0.0000 10.9111
Nd Sm Ho
12 1 5
Direct
0.0017 0.0000 0.1676
0.1659 0.5000 0.6660
0.1688 0.5000 0.0017
0.3324 0.0000 0.4983
0.3357 0.0000 0.8356
0.4982 0.5000 0.3313
0.5018 0.5000 0.6687
0.6643 0.0000 0.1644
0.6676 0.0000 0.5017
0.8312 0.5000 0.9983
0.8341 0.5000 0.3340
0.9983 0.0000 0.8324
0.0000 0.0000 0.5000
0.1674 0.5000 0.3326
0.3333 0.0000 0.1667
0.5000 0.5000 0.0000
0.6667 0.0000 0.8333
0.8326 0.5000 0.6674
```

Values from the calculation:
Symmetry = No. 10
Energy of formation from the pure elements = 0.02 eV/atom
Magnetic moment = 0.000 μB/atom



## NdSmHo3 (GGA-PBE)

Data for a geometry-optimized NdSmHo3 structure.

Geometry as POSCAR:
```
NdSmHo3
1.0
6.5067 0.0000 0.0000
-3.2346 5.6712 0.0000
-3.1157 -1.8369 8.8620
Nd Sm Ho
2 2 6
Direct
0.0000 0.0000 0.0000
0.0000 0.5000 0.5000
0.2967 0.4412 0.3091
0.7033 0.5588 0.6909
0.1296 0.1377 0.6874
0.3061 0.6520 0.9532
0.4486 0.0119 0.3119
0.5514 0.9881 0.6881
0.6939 0.3480 0.0468
0.8704 0.8623 0.3126
```

Values from the calculation:
Symmetry = No. 2
Relative energy among the computed polymorphs = 0.0 meV per atom
Energy of formation from the pure elements = 0.18 eV/atom
Magnetic moment = 0.000 μB/atom



- energy of formation from the pure elements of number 5 (Nd3SmHo3)?
  0.20 eV/atom



- The highest energy of formation from the pure elements belongs to which entry?
  Nd2Sm2Ho15



- Among the records above, which one has the lowest energy of formation from the pure elements?
  Nd12SmHo5